Version i
Eu2ZnP2 | PBE-GGA | relaxed

Values from the calculation:
As for the symmetry: No. 36. The magnetic moment comes out at 14.0 μB/f.u.

Lattice parameters (Å, degrees): 8.138 8.138 7.243 90.00 90.00 150.53
Positions (direct):
Eu: 0.036 0.964 0.500
Eu: 0.205 0.795 0.164
Eu: 0.795 0.205 0.664
Eu: 0.964 0.036 0.000
Zn: 0.404 0.596 0.352
Zn: 0.596 0.404 0.852
P: 0.169 0.831 0.770
P: 0.438 0.562 0.702
P: 0.562 0.438 0.202
P: 0.831 0.169 0.270

***

Version ii
Eu2ZnP2 | PBE-GGA | relaxed

Values from the calculation:
As for the symmetry: No. 36. The magnetic moment comes out at 14.0 μB/f.u.

Lattice parameters (Å, degrees): 7.491 7.491 5.924 90.00 90.00 137.43
Positions (direct):
Eu: 0.081 0.919 0.500
Eu: 0.309 0.691 0.342
Eu: 0.691 0.309 0.842
Eu: 0.919 0.081 0.000
Zn: 0.472 0.528 0.719
Zn: 0.528 0.472 0.219
P: 0.125 0.875 0.004
P: 0.275 0.725 0.857
P: 0.725 0.275 0.357
P: 0.875 0.125 0.504

***

The structure with the least stability is version ii.